Here is a geometry-optimized NaBe2PtPb structure from Alexandria via LeMat-Bulk. Energies are from PBE.

Unit cell a=4.6443 b=5.2924 c=4.6443 alpha=90.00 beta=90.00 gamma=90.00
Closest atoms and distances in Å follow each position.
Element x y z (fractional)
Pb (0.0000, 0.0000, 0.0000)  4 Be 2.32
Be (0.5000, 0.0000, 0.0000)  2 Pb 2.32
Pt (0.0000, 0.5000, 0.0000)  2 Pb 2.65
Na (0.5000, 0.5000, 0.5000)  4 Pt 3.28, 8 Be 3.52
Be (0.0000, 0.0000, 0.5000)  2 Pb 2.32

Computed properties:
space-group type	P4/mmm, No. 123
M_tot	0.000	μB/atom
volume	22.830	A^3/atom
ΔH_f (0 K)	871.1	meV/atom